(1)
A plane-wave DFT calculation with PBE was carried out for a relaxed La6CuHg3 crystal.

Values from the calculation:
Formation enthalpy at 0 K in eV/atom: -0.301
Space-group type: P2_1/m, No. 11

extended XYZ file:
```
20
Lattice="9.428 0.000 0.000 0.000 5.444 0.000 -3.536 0.000 11.598" Properties=species:S:1:pos:R:3 pbc="T T T"
La -1.418 1.361 4.715
La 0.891 4.083 1.977
La 2.670 1.361 0.079
La 0.444 4.083 9.799
La 2.349 1.361 4.100
La 1.587 1.361 7.232
La 4.305 4.083 4.367
La 3.544 4.083 7.499
La 5.448 1.361 1.800
La 3.222 4.083 11.519
La 5.002 1.361 9.622
La 7.311 4.083 6.884
Cu 3.843 4.083 1.369
Cu 2.050 1.361 10.229
Hg -2.835 4.083 10.172
Hg -1.381 1.361 8.434
Hg 0.864 4.083 5.366
Hg 5.028 1.361 6.232
Hg 7.273 4.083 3.164
Hg 8.728 1.361 1.426
```


(2)
A plane-wave DFT calculation with PBE was carried out for a relaxed CsTl2HgPt crystal.

Values from the calculation:
Formation enthalpy at 0 K in eV/atom: -0.145
Excess energy over the best structure of this formula in the dataset in kJ/mol of atoms: 0.0
Space-group type: P4/mmm, No. 123

extended XYZ file:
```
5
Lattice="5.479 0.000 0.000 0.000 5.479 0.000 0.000 0.000 5.530" Properties=species:S:1:pos:R:3 pbc="T T T"
Cs 0.000 0.000 0.000
Tl 0.000 2.740 2.765
Tl 2.740 0.000 2.765
Hg 2.740 2.740 0.000
Pt 2.740 2.740 2.765
```


(3)
A plane-wave DFT calculation with PBE was carried out for a relaxed CsZnCd2Ga crystal.

Values from the calculation:
Formation enthalpy at 0 K in eV/atom: 0.112
Excess energy over the best structure of this formula in the dataset in kJ/mol of atoms: 1.4
Space-group type: P4/mmm, No. 123

extended XYZ file:
```
5
Lattice="5.539 0.000 0.000 0.000 5.539 0.000 0.000 0.000 5.097" Properties=species:S:1:pos:R:3 pbc="T T T"
Cs 0.000 0.000 0.000
Zn 2.770 2.770 2.548
Cd 0.000 2.770 2.548
Cd 2.770 0.000 2.548
Ga 2.770 2.770 0.000
```


(4)
A plane-wave DFT calculation with PBE was carried out for a relaxed InNi2HIr crystal.

Values from the calculation:
VASP energy in eV per atom: -5.375
Space-group type: P4/mmm, No. 123

extended XYZ file:
```
5
Lattice="3.906 0.000 0.000 0.000 3.906 0.000 0.000 0.000 3.833" Properties=species:S:1:pos:R:3 pbc="T T T"
In 0.000 0.000 0.000
Ni 0.000 1.953 1.917
Ni 1.953 0.000 1.917
H 1.953 1.953 1.917
Ir 1.953 1.953 0.000
```


(5)
A plane-wave DFT calculation with PBE was carried out for a relaxed Nb2ZnCrH crystal.

Values from the calculation:
VASP energy in eV per atom: -6.871
Space-group type: P4/mmm, No. 123

extended XYZ file:
```
5
Lattice="4.188 0.000 0.000 0.000 4.188 0.000 0.000 0.000 3.685" Properties=species:S:1:pos:R:3 pbc="T T T"
Nb 0.000 2.094 0.000
Nb 2.094 0.000 0.000
Zn 0.000 0.000 1.842
Cr 2.094 2.094 1.842
H 2.094 2.094 0.000
```


(6)
A plane-wave DFT calculation with PBE was carried out for a relaxed MgSiPd crystal.

Values from the calculation:
Raw formation energy in meV per atom: -405.7
Space-group type: Immm, No. 71

extended XYZ file:
```
12
Lattice="2.935 0.000 0.000 0.000 5.813 0.000 0.000 0.000 11.721" Properties=species:S:1:pos:R:3 pbc="T T T"
Mg 0.000 0.000 1.956
Mg 0.000 0.000 9.765
Mg 1.467 2.906 3.904
Mg 1.467 2.906 7.817
Si 0.000 2.906 1.530
Si 0.000 2.906 10.191
Si 1.467 0.000 4.330
Si 1.467 0.000 7.390
Pd 0.000 1.430 5.860
Pd 0.000 4.382 5.860
Pd 1.467 1.476 0.000
Pd 1.467 4.337 0.000
```


(7)
A plane-wave DFT calculation with PBE was carried out for a relaxed Pb2AuS2 crystal.

Values from the calculation:
Raw formation energy in meV per atom: -259.0
Excess energy over the best structure of this formula in the dataset in kJ/mol of atoms: 0.0
Space-group type: I4/mmm, No. 139

extended XYZ file:
```
10
Lattice="5.911 0.000 0.000 0.000 5.911 0.000 0.000 0.000 7.915" Properties=species:S:1:pos:R:3 pbc="T T T"
Pb 0.000 2.956 1.979
Pb 0.000 2.956 5.936
Pb 2.956 0.000 1.979
Pb 2.956 0.000 5.936
Au 0.000 0.000 0.000
Au 2.956 2.956 3.957
S 0.000 0.000 2.331
S 0.000 0.000 5.584
S 2.956 2.956 1.626
S 2.956 2.956 6.289
```


(8)
A plane-wave DFT calculation with PBE was carried out for a relaxed SmAl6 crystal.

Values from the calculation:
Formation enthalpy at 0 K in eV/atom: -0.201
Space-group type: P4/nbm, No. 125

extended XYZ file:
```
14
Lattice="5.935 0.000 0.000 0.000 5.935 0.000 0.000 0.000 7.925" Properties=species:S:1:pos:R:3 pbc="T T T"
Sm 1.484 4.452 0.000
Sm 4.452 1.484 0.000
Al 0.429 3.397 2.812
Al 0.429 5.507 5.113
Al 1.484 1.484 1.271
Al 1.484 1.484 6.654
Al 2.539 3.397 5.113
Al 2.539 5.507 2.812
Al 3.397 0.429 5.113
Al 3.397 2.539 2.812
Al 4.452 4.452 1.271
Al 4.452 4.452 6.654
Al 5.507 0.429 2.812
Al 5.507 2.539 5.113
```


(9)
A plane-wave DFT calculation with PBE was carried out for a relaxed ScGe2P2 crystal.

Values from the calculation:
Formation enthalpy at 0 K in eV/atom: -0.206
Space-group type: P4/mbm, No. 127

extended XYZ file:
```
10
Lattice="6.881 0.000 0.000 0.000 6.881 0.000 0.000 0.000 3.897" Properties=species:S:1:pos:R:3 pbc="T T T"
Sc 0.000 0.000 0.000
Sc 3.440 3.440 0.000
Ge 1.522 1.919 1.948
Ge 1.919 5.359 1.948
Ge 4.962 1.522 1.948
Ge 5.359 4.962 1.948
P 0.825 4.265 0.000
P 2.616 0.825 0.000
P 4.265 6.056 0.000
P 6.056 2.616 0.000
```


(10)
A plane-wave DFT calculation with PBE was carried out for a relaxed DyTlAu2 crystal.

Values from the calculation:
Formation enthalpy at 0 K in eV/atom: -0.459
Space-group type: P4/mmm, No. 123

extended XYZ file:
```
4
Lattice="4.844 0.000 0.000 0.000 4.844 0.000 0.000 0.000 3.886" Properties=species:S:1:pos:R:3 pbc="T T T"
Dy 0.000 0.000 0.000
Tl 2.422 2.422 0.000
Au 0.000 2.422 1.943
Au 2.422 0.000 1.943
```


(11)
A plane-wave DFT calculation with PBE was carried out for a relaxed DyTh2CoC2 crystal.

Values from the calculation:
Formation enthalpy at 0 K in eV/atom: -0.191
Space-group type: Pnnm, No. 58

extended XYZ file:
```
12
Lattice="5.727 0.000 0.000 0.000 11.035 0.000 0.000 0.000 3.709" Properties=species:S:1:pos:R:3 pbc="T T T"
Dy 0.000 0.000 0.000
Dy 2.864 5.517 1.855
Th 0.113 3.287 1.855
Th 2.750 8.805 0.000
Th 2.977 2.230 0.000
Th 5.614 7.748 1.855
Co 0.000 5.517 0.000
Co 2.864 0.000 1.855
C 1.362 9.799 1.855
C 1.502 4.282 0.000
C 4.226 6.753 0.000
C 4.365 1.236 1.855
```


(12)
A plane-wave DFT calculation with PBE was carried out for a relaxed MgCd3Br crystal.

Values from the calculation:
Raw formation energy in meV per atom: 83.3
Excess energy over the best structure of this formula in the dataset in kJ/mol of atoms: 0.0
Space-group type: Pm-3m, No. 221

extended XYZ file:
```
5
Lattice="5.546 0.000 0.000 0.000 5.546 0.000 0.000 0.000 5.546" Properties=species:S:1:pos:R:3 pbc="T T T"
Mg 0.000 0.000 0.000
Cd 0.000 0.000 2.773
Cd 0.000 2.773 0.000
Cd 2.773 0.000 0.000
Br 2.773 2.773 2.773
```


Q: Number 9 is which compound?
A: ScGe2P2


What did the eleventh record say?
A plane-wave DFT calculation with PBE was carried out for a relaxed DyTh2CoC2 crystal.

Values from the calculation:
Formation enthalpy at 0 K in eV/atom: -0.191
Space-group type: Pnnm, No. 58

extended XYZ file:
```
12
Lattice="5.727 0.000 0.000 0.000 11.035 0.000 0.000 0.000 3.709" Properties=species:S:1:pos:R:3 pbc="T T T"
Dy 0.000 0.000 0.000
Dy 2.864 5.517 1.855
Th 0.113 3.287 1.855
Th 2.750 8.805 0.000
Th 2.977 2.230 0.000
Th 5.614 7.748 1.855
Co 0.000 5.517 0.000
Co 2.864 0.000 1.855
C 1.362 9.799 1.855
C 1.502 4.282 0.000
C 4.226 6.753 0.000
C 4.365 1.236 1.855
```


Q: Number 11 is which compound?
A: DyTh2CoC2